DFT (PBE+U) results for DyCr2IO8 after structural relaxation.

Output
**Density**: 6.00 g cm⁻³
**Total DFT energy (no corrections)**: -6.63 eV per atom

Lattice parameters (Å, degrees): 6.643 6.680 6.503 90.00 90.00 90.00
Space group Cmmm (No. 65)
One atom of each set of equivalent atoms:
Dy: 0.000 0.000 0.000
Cr: 0.000 0.500 0.246
I: 0.000 0.000 0.500
O: 0.000 0.290 0.500
O: 0.000 0.324 0.000
O: 0.193 0.000 0.284